w | DFT (PBE) results for Ac2Tb3Nd8 after structural relaxation.

Results
Crystal system: trigonal
Total magnetic moment in μB per formula unit: 0.00

Cell lengths 6.7427, 6.7427, 36.9390 Å; angles 90.00, 90.00, 120.00 degrees
Space group R-3m (No. 166, hexagonal axes)
One atom of each set of equivalent atoms:
Ac (0.0000, 0.0000, 0.1396) (multiplicity 6)
Tb (0.0000, 0.0000, 0.3123) (multiplicity 6)
Tb (0.0000, 0.0000, 0.5000) (multiplicity 3)
Nd (0.0000, 0.0000, 0.2270) (multiplicity 6)
Nd (0.9998, 0.4999, 0.2793) (multiplicity 18)

x | DFT (PBE) results for Ac2Tb3Nd8 after structural relaxation.

Results
Crystal system: monoclinic
Total magnetic moment in μB per formula unit: 0.00

Cell lengths 13.4641, 12.0651, 6.3326 Å; angles 90.00, 113.50, 90.00 degrees
Space group C2/m (No. 12)
One atom of each set of equivalent atoms:
Ac (0.2006, 0.0000, 0.3460) (multiplicity 4)
Tb (0.0000, 0.2462, 0.0000) (multiplicity 4)
Tb (0.0000, 0.5000, 0.5000) (multiplicity 2)
Nd (0.0742, 0.0000, 0.7631) (multiplicity 4)
Nd (0.1449, 0.5000, 0.0531) (multiplicity 4)
Nd (0.1642, 0.2489, 0.6687) (multiplicity 8)

Q: Which of them is the least stable? A: w.

w | DFT (PBE) results for Ac4TbNd after structural relaxation.

Results
Crystal system: cubic
Total magnetic moment in μB per formula unit: 0.00

Cell lengths 10.1256, 10.1256, 10.1256 Å; angles 90.00, 90.00, 90.00 degrees
Space group F-43m (No. 216)
One atom of each set of equivalent atoms:
Ac (0.1245, 0.1245, 0.1245) (multiplicity 16)
Tb (0.2500, 0.2500, 0.7500) (multiplicity 4)
Nd (0.0000, 0.0000, 0.5000) (multiplicity 4)

x | DFT (PBE) results for Ac4TbNd after structural relaxation.

Results
Crystal system: orthorhombic
Total magnetic moment in μB per formula unit: 0.00

Cell lengths 5.5473, 16.1789, 5.5043 Å; angles 90.00, 90.00, 90.00 degrees
Space group Cmmm (No. 65)
One atom of each set of equivalent atoms:
Ac (0.0000, 0.1607, 0.0000) (multiplicity 4)
Ac (0.0000, 0.3387, 0.5000) (multiplicity 4)
Tb (0.0000, 0.0000, 0.5000) (multiplicity 2)
Nd (0.0000, 0.5000, 0.0000) (multiplicity 2)

y | DFT (PBE) results for Ac4TbNd after structural relaxation.

Results
Crystal system: monoclinic
Total magnetic moment in μB per formula unit: 0.00

Cell lengths 10.1909, 5.8710, 10.1977 Å; angles 90.00, 109.42, 90.00 degrees
Space group C2/m (No. 12)
One atom of each set of equivalent atoms:
Ac (0.1237, 0.0000, 0.3701) (multiplicity 4)
Ac (0.1263, 0.5000, 0.8785) (multiplicity 4)
Tb (0.0000, 0.0000, 0.0000) (multiplicity 2)
Nd (0.0000, 0.5000, 0.5000) (multiplicity 2)

Q: Which of them is the least stable? A: y.

w | DFT (PBE) results for AcTb2Nd6 after structural relaxation.

Results
Crystal system: triclinic
Total magnetic moment in μB per formula unit: 0.00

Cell lengths 3.7071, 9.0259, 9.7517 Å; angles 90.58, 100.95, 90.09 degrees
Space group P-1 (No. 2)
One atom of each set of equivalent atoms:
Ac (0.0000, 0.0000, 0.0000) (multiplicity 1)
Tb (0.4441, 0.6608, 0.8880) (multiplicity 2)
Nd (0.1113, 0.6637, 0.2215) (multiplicity 2)
Nd (0.2210, 0.3363, 0.4423) (multiplicity 2)
Nd (0.3307, 0.0007, 0.6620) (multiplicity 2)

x | DFT (PBE) results for AcTb2Nd6 after structural relaxation.

Results
Crystal system: hexagonal
Total magnetic moment in μB per formula unit: 0.00

Cell lengths 3.6947, 3.6947, 27.4503 Å; angles 90.00, 90.00, 120.00 degrees
Space group P-6m2 (No. 187)
One atom of each set of equivalent atoms:
Ac (0.0000, 0.0000, 0.0000) (multiplicity 1)
Tb (0.3333, 0.6667, 0.3322) (multiplicity 2)
Nd (0.0000, 0.0000, 0.2245) (multiplicity 2)
Nd (0.0000, 0.0000, 0.4348) (multiplicity 2)
Nd (0.3333, 0.6667, 0.1165) (multiplicity 2)

Q: Which of them is the least stable? A: x.

w | DFT (PBE) results for AcTb6Nd2 after structural relaxation.

Results
Crystal system: monoclinic
Total magnetic moment in μB per formula unit: 0.00

Cell lengths 8.7495, 5.9927, 12.7701 Å; angles 90.00, 103.15, 90.00 degrees
Space group P2_1/c (No. 14)
One atom of each set of equivalent atoms:
Ac (0.0000, 0.0000, 0.0000) (multiplicity 2)
Tb (0.1331, 0.2350, 0.2612) (multiplicity 4)
Tb (0.2799, 0.7044, 0.3739) (multiplicity 4)
Tb (0.3413, 0.1546, 0.5369) (multiplicity 4)
Nd (0.4404, 0.6630, 0.6630) (multiplicity 4)

x | DFT (PBE) results for AcTb6Nd2 after structural relaxation.

Results
Crystal system: monoclinic
Total magnetic moment in μB per formula unit: 0.00

Cell lengths 10.8975, 17.8336, 6.3144 Å; angles 90.00, 94.59, 90.00 degrees
Space group C2/c (No. 15)
One atom of each set of equivalent atoms:
Ac (0.0000, 0.2494, 0.2500) (multiplicity 4)
Tb (0.0901, 0.0760, 0.9910) (multiplicity 8)
Tb (0.0900, 0.4233, 0.9921) (multiplicity 8)
Tb (0.1589, 0.2495, 0.7732) (multiplicity 8)
Nd (0.2502, 0.0953, 0.4992) (multiplicity 8)

Q: Which of them is the least stable? A: w.

w | DFT (PBE) results for AcTb12Nd7 after structural relaxation.

Results
Crystal system: trigonal
Total magnetic moment in μB per formula unit: 0.00

Cell lengths 12.1889, 12.1889, 16.1929 Å; angles 90.00, 90.00, 120.00 degrees
Space group R-3 (No. 148, hexagonal axes)
One atom of each set of equivalent atoms:
Ac (0.0000, 0.0000, 0.0000) (multiplicity 3)
Tb (0.0106, 0.4407, 0.7198) (multiplicity 18)
Tb (0.0484, 0.5891, 0.0833) (multiplicity 18)
Nd (0.0000, 0.0000, 0.5000) (multiplicity 3)
Nd (0.0498, 0.1896, 0.7931) (multiplicity 18)

x | DFT (PBE) results for AcTb12Nd7 after structural relaxation.

Results
Crystal system: cubic
Total magnetic moment in μB per formula unit: 0.00

Cell lengths 11.4443, 11.4443, 11.4443 Å; angles 90.00, 90.00, 90.00 degrees
Space group Im-3m (No. 229)
One atom of each set of equivalent atoms:
Ac (0.0000, 0.0000, 0.0000) (multiplicity 2)
Tb (0.0000, 0.2549, 0.2549) (multiplicity 24)
Nd (0.0000, 0.0000, 0.5000) (multiplicity 6)
Nd (0.2500, 0.2500, 0.2500) (multiplicity 8)

Q: Which of them is the least stable? A: x.

w | DFT (PBE) results for AcTb4Nd3 after structural relaxation.

Results
Crystal system: orthorhombic
Total magnetic moment in μB per formula unit: 0.00

Cell lengths 11.7889, 7.4263, 6.3894 Å; angles 90.00, 90.00, 90.00 degrees
Space group Pmn2_1 (No. 31)
One atom of each set of equivalent atoms:
Ac (0.0000, 0.1269, 0.0000) (multiplicity 2)
Tb (0.0000, 0.3833, 0.4915) (multiplicity 2)
Tb (0.0000, 0.6217, 0.9904) (multiplicity 2)
Tb (0.2479, 0.6195, 0.6593) (multiplicity 4)
Nd (0.0000, 0.8677, 0.4935) (multiplicity 2)
Nd (0.2482, 0.1304, 0.6551) (multiplicity 4)

x | DFT (PBE) results for AcTb4Nd3 after structural relaxation.

Results
Crystal system: orthorhombic
Total magnetic moment in μB per formula unit: 0.00

Cell lengths 3.5186, 11.8556, 13.3985 Å; angles 90.00, 90.00, 90.00 degrees
Space group Immm (No. 71)
One atom of each set of equivalent atoms:
Ac (0.0000, 0.0000, 0.0000) (multiplicity 2)
Tb (0.0000, 0.2537, 0.1360) (multiplicity 8)
Nd (0.0000, 0.0000, 0.5000) (multiplicity 2)
Nd (0.0000, 0.5000, 0.2574) (multiplicity 4)

Q: Which of them is the least stable? A: x.

w | DFT (PBE) results for AcTb3Nd2 after structural relaxation.

Results
Crystal system: orthorhombic
Total magnetic moment in μB per formula unit: 0.00

Cell lengths 11.4112, 11.0320, 6.7597 Å; angles 90.00, 90.00, 90.00 degrees
Space group Cmcm (No. 63)
One atom of each set of equivalent atoms:
Ac (0.0000, 0.1121, 0.2500) (multiplicity 4)
Tb (0.0000, 0.4292, 0.2500) (multiplicity 4)
Tb (0.2451, 0.5000, 0.0000) (multiplicity 8)
Nd (0.1500, 0.2515, 0.7500) (multiplicity 8)

x | DFT (PBE) results for AcTb3Nd2 after structural relaxation.

Results
Crystal system: trigonal
Total magnetic moment in μB per formula unit: 0.00

Cell lengths 7.1011, 7.1011, 9.8976 Å; angles 90.00, 90.00, 120.00 degrees
Space group P-3m1 (No. 164)
One atom of each set of equivalent atoms:
Ac (0.3333, 0.6667, 0.4452) (multiplicity 2)
Tb (0.1830, 0.3660, 0.7731) (multiplicity 6)
Nd (0.0000, 0.0000, 0.0000) (multiplicity 1)
Nd (0.0000, 0.0000, 0.5000) (multiplicity 1)
Nd (0.3333, 0.6667, 0.0870) (multiplicity 2)

Q: Which of them is the least stable? A: x.

w | DFT (PBE) results for AcTb4Nd2 after structural relaxation.

Results
Crystal system: trigonal
Total magnetic moment in μB per formula unit: 0.00

Cell lengths 3.6735, 3.6735, 61.9611 Å; angles 90.00, 90.00, 120.00 degrees
Space group R-3m (No. 166, hexagonal axes)
One atom of each set of equivalent atoms:
Ac (0.0000, 0.0000, 0.0000) (multiplicity 3)
Tb (0.0000, 0.0000, 0.1436) (multiplicity 6)
Tb (0.0000, 0.0000, 0.2841) (multiplicity 6)
Nd (0.0000, 0.0000, 0.4296) (multiplicity 6)

x | DFT (PBE) results for AcTb4Nd2 after structural relaxation.

Results
Crystal system: tetragonal
Total magnetic moment in μB per formula unit: 0.00

Cell lengths 8.6808, 8.6808, 6.6344 Å; angles 90.00, 90.00, 90.00 degrees
Space group I4/mmm (No. 139)
One atom of each set of equivalent atoms:
Ac (0.0000, 0.0000, 0.0000) (multiplicity 2)
Tb (0.1966, 0.1966, 0.5000) (multiplicity 8)
Nd (0.0000, 0.5000, 0.2500) (multiplicity 4)

Q: Which of them is the least stable? A: x.